This record from OQMD describes a relaxed Zr2AlTc crystal. The functional is GGA-PBE.

Computed properties:
- E_tot: -8.027 eV/atom

Cell lengths 6.6210, 6.6210, 6.6210 Å; angles 90.00, 90.00, 90.00 degrees
Space group F-43m (No. 216)
Unique sites:
1 Zr 0.0000 0.0000 0.0000 [4 per cell]
2 Zr 0.2500 0.2500 0.2500 [4 per cell]
3 Al 0.2500 0.2500 0.7500 [4 per cell]
4 Tc 0.0000 0.0000 0.5000 [4 per cell]

This record from OQMD describes a relaxed Zr3AlTc2 crystal. The functional is GGA-PBE.

Computed properties:
- E_tot: -8.796 eV/atom

Cell lengths 3.3583, 3.3583, 9.7736 Å; angles 90.00, 90.00, 90.00 degrees
Space group P4/mmm (No. 123)
Unique sites:
1 Zr 0.0000 0.0000 0.0000 [1 per cell]
2 Zr 0.0000 0.0000 0.3249 [2 per cell]
3 Al 0.5000 0.5000 0.5000 [1 per cell]
4 Tc 0.5000 0.5000 0.1708 [2 per cell]